[1]
The following is a DFT calculation (GGA-PBE) of a relaxed Li5ZnCd crystal.

- formation energy from the elements (meV per atom) = -76
- V (Å³/atom) = 18.3
- energy above the most stable polymorph in this dataset (meV per atom) = 0

The structure in CIF format:
```
data_Li5ZnCd
_cell_length_a 5.588
_cell_length_b 5.588
_cell_length_c 9.778
_cell_angle_alpha 101.24
_cell_angle_beta 101.24
_cell_angle_gamma 59.22
_symmetry_space_group_name_H-M 'P 1'
_symmetry_Int_Tables_number 1
_symmetry_space_group_name_Hall 'P 1'
loop_
_atom_site_label
_atom_site_type_symbol
_atom_site_fract_x
_atom_site_fract_y
_atom_site_fract_z
Li1 Li 0.130 0.344 0.679
Li2 Li 0.192 0.808 0.750
Li3 Li 0.286 0.419 0.965
Li4 Li 0.344 0.130 0.179
Li5 Li 0.419 0.286 0.465
Li6 Li 0.581 0.714 0.535
Li7 Li 0.656 0.870 0.821
Li8 Li 0.714 0.581 0.035
Li9 Li 0.808 0.192 0.250
Li10 Li 0.870 0.656 0.321
Zn1 Zn 0.000 0.000 0.000
Zn2 Zn 0.000 0.000 0.500
Cd1 Cd 0.307 0.693 0.250
Cd2 Cd 0.693 0.307 0.750
```

=====

[2]
The following is a DFT calculation (GGA-PBE) of a relaxed Li2ZnCd9 crystal.

- formation energy from the elements (meV per atom) = -78
- V (Å³/atom) = 20.7

The structure in CIF format:
```
data_Li2ZnCd9
_cell_length_a 4.409
_cell_length_b 4.409
_cell_length_c 12.761
_cell_angle_alpha 90.00
_cell_angle_beta 90.00
_cell_angle_gamma 90.00
_symmetry_space_group_name_H-M 'P 1'
_symmetry_Int_Tables_number 1
_symmetry_space_group_name_Hall 'P 1'
loop_
_atom_site_label
_atom_site_type_symbol
_atom_site_fract_x
_atom_site_fract_y
_atom_site_fract_z
Li1 Li 0.000 0.000 0.165
Li2 Li 0.000 0.000 0.835
Zn1 Zn 0.000 0.000 0.500
Cd1 Cd 0.000 0.500 0.000
Cd2 Cd 0.000 0.500 0.332
Cd3 Cd 0.000 0.500 0.668
Cd4 Cd 0.500 0.000 0.000
Cd5 Cd 0.500 0.000 0.332
Cd6 Cd 0.500 0.000 0.668
Cd7 Cd 0.500 0.500 0.167
Cd8 Cd 0.500 0.500 0.500
Cd9 Cd 0.500 0.500 0.833
```

=====

[3]
The following is a DFT calculation (GGA-PBE) of a relaxed Li3Zn2Cd7 crystal.

- formation energy from the elements (meV per atom) = -85
- V (Å³/atom) = 20.3
- energy above the most stable polymorph in this dataset (meV per atom) = 8

The structure in CIF format:
```
data_Li3Zn2Cd7
_cell_length_a 4.755
_cell_length_b 2.986
_cell_length_c 17.322
_cell_angle_alpha 90.00
_cell_angle_beta 97.65
_cell_angle_gamma 90.00
_symmetry_space_group_name_H-M 'P 1'
_symmetry_Int_Tables_number 1
_symmetry_space_group_name_Hall 'P 1'
loop_
_atom_site_label
_atom_site_type_symbol
_atom_site_fract_x
_atom_site_fract_y
_atom_site_fract_z
Li1 Li 0.000 0.000 0.000
Li2 Li 0.310 0.500 0.624
Li3 Li 0.690 0.500 0.376
Zn1 Zn 0.153 0.000 0.300
Zn2 Zn 0.847 0.000 0.700
Cd1 Cd 0.075 0.500 0.139
Cd2 Cd 0.228 0.000 0.455
Cd3 Cd 0.387 0.000 0.783
Cd4 Cd 0.500 0.500 0.000
Cd5 Cd 0.613 0.000 0.217
Cd6 Cd 0.772 0.000 0.545
Cd7 Cd 0.925 0.500 0.861
```

=====

[4]
The following is a DFT calculation (GGA-PBE) of a relaxed LiZnCd6 crystal.

- formation energy from the elements (meV per atom) = -43
- V (Å³/atom) = 20.9
- energy above the most stable polymorph in this dataset (meV per atom) = 0

The structure in CIF format:
```
data_LiZnCd6
_cell_length_a 4.441
_cell_length_b 6.156
_cell_length_c 6.156
_cell_angle_alpha 83.86
_cell_angle_beta 90.00
_cell_angle_gamma 90.00
_symmetry_space_group_name_H-M 'P 1'
_symmetry_Int_Tables_number 1
_symmetry_space_group_name_Hall 'P 1'
loop_
_atom_site_label
_atom_site_type_symbol
_atom_site_fract_x
_atom_site_fract_y
_atom_site_fract_z
Li1 Li 0.000 0.000 0.000
Zn1 Zn 0.500 0.778 0.778
Cd1 Cd 0.000 0.460 0.460
Cd2 Cd 0.000 0.518 0.952
Cd3 Cd 0.000 0.952 0.518
Cd4 Cd 0.500 0.226 0.226
Cd5 Cd 0.500 0.246 0.740
Cd6 Cd 0.500 0.740 0.246
```

=====

[5]
The following is a DFT calculation (GGA-PBE) of a relaxed Li2ZnCd crystal.

- formation energy from the elements (meV per atom) = -131
- V (Å³/atom) = 18.0

The structure in CIF format:
```
data_Li2ZnCd
_cell_length_a 9.696
_cell_length_b 9.696
_cell_length_c 9.696
_cell_angle_alpha 17.49
_cell_angle_beta 17.49
_cell_angle_gamma 17.49
_symmetry_space_group_name_H-M 'P 1'
_symmetry_Int_Tables_number 1
_symmetry_space_group_name_Hall 'P 1'
loop_
_atom_site_label
_atom_site_type_symbol
_atom_site_fract_x
_atom_site_fract_y
_atom_site_fract_z
Li1 Li 0.246 0.246 0.246
Li2 Li 0.754 0.754 0.754
Zn1 Zn 0.500 0.500 0.500
Cd1 Cd 0.000 0.000 0.000
```

=====

[6]
The following is a DFT calculation (GGA-PBE) of a relaxed Li2Zn2Cd7 crystal.

- formation energy from the elements (meV per atom) = -74
- V (Å³/atom) = 20.6

The structure in CIF format:
```
data_Li2Zn2Cd7
_cell_length_a 6.991
_cell_length_b 6.991
_cell_length_c 5.217
_cell_angle_alpha 108.94
_cell_angle_beta 108.94
_cell_angle_gamma 90.32
_symmetry_space_group_name_H-M 'P 1'
_symmetry_Int_Tables_number 1
_symmetry_space_group_name_Hall 'P 1'
loop_
_atom_site_label
_atom_site_type_symbol
_atom_site_fract_x
_atom_site_fract_y
_atom_site_fract_z
Li1 Li 0.179 0.821 0.000
Li2 Li 0.821 0.179 0.000
Zn1 Zn 0.257 0.257 0.047
Zn2 Zn 0.743 0.743 0.953
Cd1 Cd 0.000 0.000 0.500
Cd2 Cd 0.073 0.579 0.319
Cd3 Cd 0.407 0.407 0.683
Cd4 Cd 0.421 0.927 0.681
Cd5 Cd 0.579 0.073 0.319
Cd6 Cd 0.593 0.593 0.317
Cd7 Cd 0.927 0.421 0.681
```

=====

[7]
The following is a DFT calculation (GGA-PBE) of a relaxed LiZnCd2 crystal.

- formation energy from the elements (meV per atom) = -118
- V (Å³/atom) = 18.7

The structure in CIF format:
```
data_LiZnCd2
_cell_length_a 4.919
_cell_length_b 4.919
_cell_length_c 4.919
_cell_angle_alpha 126.38
_cell_angle_beta 126.38
_cell_angle_gamma 79.27
_symmetry_space_group_name_H-M 'P 1'
_symmetry_Int_Tables_number 1
_symmetry_space_group_name_Hall 'P 1'
loop_
_atom_site_label
_atom_site_type_symbol
_atom_site_fract_x
_atom_site_fract_y
_atom_site_fract_z
Li1 Li 0.000 0.000 0.000
Zn1 Zn 0.750 0.250 0.500
Cd1 Cd 0.250 0.750 0.500
Cd2 Cd 0.500 0.500 0.000
```

=====

[8]
The following is a DFT calculation (GGA-PBE) of a relaxed Li4Zn5Cd2 crystal.

- formation energy from the elements (meV per atom) = -143
- V (Å³/atom) = 17.1

The structure in CIF format:
```
data_Li4Zn5Cd2
_cell_length_a 7.385
_cell_length_b 7.385
_cell_length_c 5.535
_cell_angle_alpha 104.46
_cell_angle_beta 104.46
_cell_angle_gamma 40.20
_symmetry_space_group_name_H-M 'P 1'
_symmetry_Int_Tables_number 1
_symmetry_space_group_name_Hall 'P 1'
loop_
_atom_site_label
_atom_site_type_symbol
_atom_site_fract_x
_atom_site_fract_y
_atom_site_fract_z
Li1 Li 0.093 0.093 0.424
Li2 Li 0.256 0.256 0.153
Li3 Li 0.744 0.744 0.847
Li4 Li 0.907 0.907 0.576
Zn1 Zn 0.166 0.677 0.096
Zn2 Zn 0.323 0.834 0.904
Zn3 Zn 0.500 0.500 0.500
Zn4 Zn 0.677 0.166 0.096
Zn5 Zn 0.834 0.323 0.904
Cd1 Cd 0.303 0.303 0.665
Cd2 Cd 0.697 0.697 0.335
```